Density functional theory data (GGA-PBE) for crystalline Y5Ge2H at its relaxed geometry.

```
data_Y5Ge2H
_chemical_formula_sum 'Y10 Ge4 H2'
_symmetry_space_group_name_H-M 'I 4 m m'
_symmetry_Int_Tables_number 107
_symmetry_space_group_name_Hall 'I 4 -2'
_cell_length_a 6.7965
_cell_length_b 6.7965
_cell_length_c 8.3967
_cell_angle_alpha 90.00
_cell_angle_beta 90.00
_cell_angle_gamma 90.00
loop_
_atom_site_label
_atom_site_type_symbol
_atom_site_fract_x
_atom_site_fract_y
_atom_site_fract_z
Y1 Y 0.0000 0.0000 0.0000
Y2 Y 0.2492 0.2492 0.2553
Ge1 Ge 0.0000 0.5000 0.0044
H1 H 0.0000 0.0000 0.7375
```

Summary:
- V: 24.24 A^3/atom
- Mass density: 5.1 g/cm³
- Total energy: -47.652 eV per formula unit